VASP calculation (GGA+U) on LiFeBO3 after structural relaxation.

abc: 8.981 10.403 10.471
angles: 88.38 90.00 90.00
Sites, in units of the cell vectors:
Li: 0.755 0.411 0.706
Li: 0.256 0.412 0.954
Li: 0.266 0.836 0.457
Li: 0.244 0.912 0.954
Li: 0.734 0.164 0.543
Li: 0.759 0.837 0.208
Li: 0.245 0.589 0.294
Li: 0.241 0.163 0.792
Li: 0.766 0.664 0.543
Li: 0.745 0.911 0.706
Li: 0.259 0.663 0.792
Li: 0.255 0.089 0.294
Li: 0.234 0.336 0.457
Li: 0.744 0.588 0.046
Li: 0.741 0.337 0.208
Li: 0.756 0.088 0.046
B: 0.919 0.619 0.791
B: 0.578 0.371 0.457
B: 0.422 0.629 0.543
B: 0.418 0.869 0.708
B: 0.918 0.631 0.292
B: 0.078 0.129 0.543
B: 0.583 0.380 0.960
B: 0.917 0.880 0.960
B: 0.417 0.620 0.040
B: 0.082 0.369 0.708
B: 0.419 0.881 0.209
B: 0.582 0.131 0.292
B: 0.083 0.120 0.040
B: 0.581 0.119 0.791
B: 0.922 0.871 0.457
B: 0.081 0.381 0.209
Fe: 0.590 0.625 0.792
Fe: 0.594 0.884 0.453
Fe: 0.581 0.868 0.955
Fe: 0.919 0.368 0.955
Fe: 0.094 0.616 0.547
Fe: 0.410 0.375 0.208
Fe: 0.906 0.384 0.453
Fe: 0.423 0.375 0.700
Fe: 0.406 0.116 0.547
Fe: 0.923 0.125 0.300
Fe: 0.577 0.625 0.300
Fe: 0.081 0.632 0.045
Fe: 0.077 0.875 0.700
Fe: 0.419 0.132 0.045
Fe: 0.090 0.875 0.208
Fe: 0.910 0.125 0.792
O: 0.448 0.159 0.734
O: 0.052 0.659 0.734
O: 0.086 0.088 0.170
O: 0.293 0.895 0.285
O: 0.087 0.411 0.079
O: 0.707 0.105 0.715
O: 0.414 0.588 0.170
O: 0.060 0.841 0.512
O: 0.290 0.608 0.967
O: 0.552 0.841 0.266
O: 0.949 0.160 0.983
O: 0.914 0.912 0.830
O: 0.086 0.408 0.579
O: 0.910 0.908 0.329
O: 0.795 0.859 0.533
O: 0.913 0.589 0.921
O: 0.556 0.838 0.765
O: 0.210 0.108 0.967
O: 0.295 0.641 0.467
O: 0.948 0.341 0.266
O: 0.710 0.143 0.221
O: 0.590 0.408 0.329
O: 0.551 0.660 0.983
O: 0.090 0.092 0.671
O: 0.414 0.908 0.579
O: 0.290 0.857 0.779
O: 0.051 0.840 0.017
O: 0.413 0.911 0.079
O: 0.940 0.159 0.488
O: 0.410 0.592 0.671
O: 0.205 0.141 0.467
O: 0.914 0.592 0.421
O: 0.790 0.892 0.033
O: 0.444 0.162 0.235
O: 0.056 0.662 0.235
O: 0.207 0.395 0.285
O: 0.440 0.341 0.512
O: 0.790 0.643 0.221
O: 0.587 0.089 0.921
O: 0.560 0.659 0.488
O: 0.586 0.092 0.421
O: 0.449 0.340 0.017
O: 0.793 0.605 0.715
O: 0.210 0.357 0.779
O: 0.705 0.359 0.533
O: 0.944 0.338 0.765
O: 0.586 0.412 0.830
O: 0.710 0.392 0.033

Calculated values
Space group = P2_1/c
DOS at the Fermi energy = 0.0 states/eV per cell
DFT total energy = -663.7 eV per cell
Energy above the most stable polymorph in this dataset = 0.0 meV per atom